Density functional theory data (PBE) for a relaxed structure of Ti2AlGeF. Values from VASP.

Summary:
energy = -28.254 eV/cell
energy relative to the elements, uncorrected = -0.447 eV per atom
space-group type = No. 123
size of the total moment = 0.0 μB/cell

```
&SYSTEM
  ibrav = 0, nat = 5, ntyp = 4
/
ATOMIC_SPECIES
Ti 47.87 Ti.upf
Al 26.98 Al.upf
F 19.00 F.upf
Ge 72.64 Ge.upf
CELL_PARAMETERS angstrom
-3.886 -0.478 1.433
1.570 -0.621 4.052
-0.238 4.100 0.721
ATOMIC_POSITIONS crystal
Ti 0.000 0.000 0.500
Al 0.000 0.500 0.000
Ti 0.500 0.000 0.000
F 0.000 0.000 0.000
Ge 0.500 0.500 0.500
```